Here is an optimized crystal structure of CePmCd from Alexandria. Energies are from PBE.

It has space group Cmcm (No. 63), with a = 3.617 Å, b = 17.339 Å, c = 5.528 Å, α = 90.00°, β = 90.00° and γ = 90.00°. The inequivalent atoms are Ce at (0.000, 0.233, 0.250), Pm at (0.000, 0.087, 0.750) and Cd at (0.000, 0.428, 0.750).

As for the raw total energy: -3.997 eV/atom. Its crystal system is orthorhombic. The value obtained for the calculated volume is 28.895 Å³/atom. The energy of formation is -0.131 eV/atom.

Here is an optimized crystal structure of Ce2Pm2Cd15 from Alexandria. Energies are from PBE.

It has space group R-3m (No. 166, hexagonal axes), with a = 10.3766 Å, b = 10.3766 Å, c = 15.0954 Å, α = 90.00°, β = 90.00° and γ = 120.00°. The inequivalent atoms are Ce at (0.0000, 0.0000, 0.1706), Pm at (0.0000, 0.0000, 0.4007), Cd at (0.0000, 0.2959, 0.5000), Cd at (0.0000, 0.5000, 0.0000) and Cd at (0.0159, 0.5079, 0.6416).

As for the raw total energy: -1.955 eV/atom. Its crystal system is trigonal. The value obtained for the calculated volume is 24.695 Å³/atom. The energy of formation is -0.107 eV/atom.

Question: Which value of raw total energy does entry 1 give?
Answer: -3.997 eV/atom